# PaTiIn PBE-GGA optimized geometry
data_PaTiIn
_chemical_formula_sum 'Pa1 Ti1 In1'
_cell_length_a 5.0238
_cell_length_b 5.0238
_cell_length_c 3.1008
_cell_angle_alpha 90.00
_cell_angle_beta 90.00
_cell_angle_gamma 120.00
_space_group_name_H-M_alt 'P -6 m 2'
_space_group_IT_number 187
_space_group_name_Hall 'P -6 2'
loop_
_atom_site_label
_atom_site_fract_x
_atom_site_fract_y
_atom_site_fract_z
Pa1 0.0000 0.0000 0.0000
Ti1 0.6667 0.3333 0.5000
In1 0.3333 0.6667 0.5000
# Raw total energy ... -6.59 eV/atom
# Theoretical density ... 9.65 g/cm³
# ΔE_f ... 0.121 eV/atom